[1]
First-principles (PBE-GGA) data for a relaxed structure of PmYCdNi, as listed in Alexandria via LeMat-Bulk.

Output
Energy in eV per atom: -4.71
Space group: F-43m, No. 216

```
data_PmYCdNi
_space_group_name_H-M_alt 'P 1'
_space_group_IT_number 1
_cell_length_a 5.130
_cell_length_b 5.130
_cell_length_c 5.130
_cell_angle_alpha 60.00
_cell_angle_beta 60.00
_cell_angle_gamma 60.00
loop_
_space_group_symop_operation_xyz
'x,y,z'
loop_
_atom_site_label
_atom_site_fract_x
_atom_site_fract_y
_atom_site_fract_z
Pm1 0.250 0.250 0.250
Y1 0.750 0.750 0.750
Cd1 0.000 0.000 0.000
Ni1 0.500 0.500 0.500
```

[2]
First-principles (PBE-GGA) data for a relaxed structure of Pm2Zn2CdNi5, as listed in Alexandria via LeMat-Bulk.

Output
Energy in eV per atom: -4.37
Space group: P4/mbm, No. 127

```
data_Pm2Zn2CdNi5
_space_group_name_H-M_alt 'P 1'
_space_group_IT_number 1
_cell_length_a 3.661
_cell_length_b 9.482
_cell_length_c 9.482
_cell_angle_alpha 90.00
_cell_angle_beta 90.00
_cell_angle_gamma 90.00
loop_
_space_group_symop_operation_xyz
'x,y,z'
loop_
_atom_site_label
_atom_site_fract_x
_atom_site_fract_y
_atom_site_fract_z
Cd1 0.000 0.000 0.000
Ni1 0.500 0.500 0.000
Ni2 0.500 0.000 0.500
Cd2 0.000 0.500 0.500
Ni3 0.500 0.937 0.216
Ni4 0.500 0.563 0.716
Zn1 0.000 0.614 0.886
Pm1 0.000 0.818 0.682
Zn2 0.000 0.386 0.114
Pm2 0.000 0.318 0.818
Ni5 0.500 0.284 0.563
Pm3 0.000 0.682 0.182
Ni6 0.500 0.784 0.937
Ni7 0.500 0.216 0.063
Ni8 0.500 0.063 0.784
Zn3 0.000 0.886 0.386
Ni9 0.500 0.437 0.284
Pm4 0.000 0.182 0.318
Ni10 0.500 0.716 0.437
Zn4 0.000 0.114 0.614
```

[3]
First-principles (PBE-GGA) data for a relaxed structure of PmZnCdNi, as listed in Alexandria via LeMat-Bulk.

Output
Energy in eV per atom: -3.39
Space group: F-43m, No. 216

```
data_PmZnCdNi
_space_group_name_H-M_alt 'P 1'
_space_group_IT_number 1
_cell_length_a 4.794
_cell_length_b 4.794
_cell_length_c 4.794
_cell_angle_alpha 60.00
_cell_angle_beta 60.00
_cell_angle_gamma 60.00
loop_
_space_group_symop_operation_xyz
'x,y,z'
loop_
_atom_site_label
_atom_site_fract_x
_atom_site_fract_y
_atom_site_fract_z
Cd1 0.500 0.500 0.500
Ni1 0.250 0.250 0.250
Pm1 0.000 0.000 0.000
Zn1 0.750 0.750 0.750
```

[4]
First-principles (PBE-GGA) data for a relaxed structure of PrCd20Ni2, as listed in Alexandria via LeMat-Bulk.

Output
Energy in eV per atom: -1.60
Space group: Fd-3m, No. 227

```
data_PrCd20Ni2
_space_group_name_H-M_alt 'P 1'
_space_group_IT_number 1
_cell_length_a 11.174
_cell_length_b 11.174
_cell_length_c 11.174
_cell_angle_alpha 60.00
_cell_angle_beta 60.00
_cell_angle_gamma 60.00
loop_
_space_group_symop_operation_xyz
'x,y,z'
loop_
_atom_site_label
_atom_site_fract_x
_atom_site_fract_y
_atom_site_fract_z
Cd1 0.363 0.637 0.363
Cd2 0.800 0.069 0.800
Ni1 0.625 0.625 0.625
Cd3 0.181 0.450 0.450
Cd4 0.613 0.887 0.613
Cd5 0.800 0.330 0.069
Cd6 0.125 0.625 0.125
Cd7 0.363 0.363 0.637
Cd8 0.181 0.450 0.920
Cd9 0.625 0.125 0.125
Ni2 0.625 0.125 0.625
Cd10 0.637 0.637 0.363
Cd11 0.330 0.800 0.800
Cd12 0.450 0.450 0.920
Cd13 0.613 0.613 0.887
Ni3 0.125 0.625 0.625
Cd14 0.920 0.181 0.450
Cd15 0.637 0.363 0.363
Cd16 0.125 0.125 0.625
Cd17 0.920 0.450 0.181
Cd18 0.181 0.920 0.450
Cd19 0.069 0.800 0.800
Cd20 0.330 0.069 0.800
Cd21 0.887 0.887 0.613
Pr1 0.250 0.250 0.250
Cd22 0.330 0.800 0.069
Cd23 0.887 0.613 0.613
Pr2 0.000 0.000 0.000
Cd24 0.069 0.800 0.330
Cd25 0.450 0.920 0.181
Cd26 0.800 0.800 0.330
Cd27 0.450 0.181 0.450
Cd28 0.887 0.613 0.887
Cd29 0.920 0.450 0.450
Cd30 0.363 0.637 0.637
Cd31 0.613 0.887 0.887
Cd32 0.450 0.450 0.181
Cd33 0.069 0.330 0.800
Cd34 0.800 0.330 0.800
Cd35 0.450 0.181 0.920
Cd36 0.450 0.920 0.450
Cd37 0.800 0.069 0.330
Cd38 0.637 0.363 0.637
Cd39 0.125 0.125 0.125
Ni4 0.625 0.625 0.125
Cd40 0.800 0.800 0.069
```

[5]
First-principles (PBE-GGA) data for a relaxed structure of PrCd3Ni, as listed in Alexandria via LeMat-Bulk.

Output
Energy in eV per atom: -2.90
Space group: P2_1/m, No. 11

```
data_PrCd3Ni
_space_group_name_H-M_alt 'P 1'
_space_group_IT_number 1
_cell_length_a 6.772
_cell_length_b 5.902
_cell_length_c 5.527
_cell_angle_alpha 90.00
_cell_angle_beta 88.88
_cell_angle_gamma 90.00
loop_
_space_group_symop_operation_xyz
'x,y,z'
loop_
_atom_site_label
_atom_site_fract_x
_atom_site_fract_y
_atom_site_fract_z
Cd1 0.701 0.995 0.868
Ni1 0.036 0.250 0.846
Pr1 0.127 0.750 0.647
Cd2 0.299 0.005 0.132
Cd3 0.299 0.495 0.132
Cd4 0.619 0.750 0.397
Cd5 0.381 0.250 0.603
Pr2 0.873 0.250 0.353
Cd6 0.701 0.505 0.868
Ni2 0.964 0.750 0.154
```

[6]
First-principles (PBE-GGA) data for a relaxed structure of Pr12Cd6Ni, as listed in Alexandria via LeMat-Bulk.

Output
Energy in eV per atom: -3.71
Space group: R-3, No. 148

```
data_Pr12Cd6Ni
_space_group_name_H-M_alt 'P 1'
_space_group_IT_number 1
_cell_length_a 8.535
_cell_length_b 8.535
_cell_length_c 8.535
_cell_angle_alpha 94.71
_cell_angle_beta 94.71
_cell_angle_gamma 94.71
loop_
_space_group_symop_operation_xyz
'x,y,z'
loop_
_atom_site_label
_atom_site_fract_x
_atom_site_fract_y
_atom_site_fract_z
Pr1 0.090 0.317 0.980
Pr2 0.317 0.980 0.090
Pr3 0.801 0.571 0.462
Pr4 0.571 0.462 0.801
Pr5 0.980 0.090 0.317
Cd1 0.143 0.740 0.339
Cd2 0.260 0.661 0.857
Pr6 0.683 0.020 0.910
Pr7 0.429 0.538 0.199
Pr8 0.020 0.910 0.683
Cd3 0.339 0.143 0.740
Cd4 0.857 0.260 0.661
Pr9 0.538 0.199 0.429
Pr10 0.199 0.429 0.538
Pr11 0.910 0.683 0.020
Pr12 0.462 0.801 0.571
Ni1 0.000 0.000 0.000
Cd5 0.661 0.857 0.260
Cd6 0.740 0.339 0.143
```

[7]
First-principles (PBE-GGA) data for a relaxed structure of Pr3CdNi, as listed in Alexandria via LeMat-Bulk.

Output
Energy in eV per atom: -4.37
Space group: Cmcm, No. 63

```
data_Pr3CdNi
_space_group_name_H-M_alt 'P 1'
_space_group_IT_number 1
_cell_length_a 3.770
_cell_length_b 7.700
_cell_length_c 10.619
_cell_angle_alpha 90.00
_cell_angle_beta 90.00
_cell_angle_gamma 104.18
loop_
_space_group_symop_operation_xyz
'x,y,z'
loop_
_atom_site_label
_atom_site_fract_x
_atom_site_fract_y
_atom_site_fract_z
Pr1 0.862 0.725 0.950
Pr2 0.862 0.725 0.550
Ni1 0.500 0.000 0.500
Pr3 0.138 0.275 0.450
Pr4 0.550 0.102 0.750
Cd1 0.238 0.475 0.750
Pr5 0.138 0.275 0.050
Cd2 0.762 0.525 0.250
Ni2 0.500 0.000 0.000
Pr6 0.450 0.898 0.250
```

[8]
First-principles (PBE-GGA) data for a relaxed structure of PrCdNi, as listed in Alexandria via LeMat-Bulk.

Output
Energy in eV per atom: -4.01
Space group: P-6m2, No. 187

```
data_PrCdNi
_space_group_name_H-M_alt 'P 1'
_space_group_IT_number 1
_cell_length_a 3.840
_cell_length_b 4.559
_cell_length_c 4.559
_cell_angle_alpha 120.00
_cell_angle_beta 90.00
_cell_angle_gamma 90.00
loop_
_space_group_symop_operation_xyz
'x,y,z'
loop_
_atom_site_label
_atom_site_fract_x
_atom_site_fract_y
_atom_site_fract_z
Pr1 0.667 0.667 0.333
Ni1 0.166 0.000 0.000
Cd1 0.167 0.333 0.667
```

> Which value of energy does entry 3 give?

-3.39 eV per atom